Record 1
CdAg6Se4 (PBE, relaxed); space-group type = I-42m; energy relative to the elements, uncorrected = -108 meV per atom
1.0
-7.056 -0.330 -0.985
3.322 -3.676 5.130
3.214 5.740 2.754
Cd Ag Se
1 6 4
direct
0.000 0.000 0.000
0.000 0.773 0.474
0.000 0.474 0.773
0.299 0.526 0.526
0.500 0.500 0.000
0.701 0.227 0.227
0.500 0.000 0.500
0.000 0.619 0.107
0.488 0.381 0.381
0.000 0.107 0.619
0.512 0.893 0.893

***

Record 2
CdAgSe2 (PBE, relaxed); space-group type = F-43m; energy relative to the elements, uncorrected = 251 meV per atom
1.0
4.935 0.000 0.000
2.467 4.274 0.000
2.467 1.425 4.029
Ag Cd Se
1 1 2
direct
0.500 0.500 0.500
0.750 0.750 0.750
0.000 0.000 0.000
0.250 0.250 0.250

***

Record 3
CdAgSe2 (PBE, relaxed); space-group type = P2/m; energy relative to the elements, uncorrected = -234 meV per atom
1.0
-0.355 -3.387 -2.083
-3.413 -2.857 5.229
-5.077 -0.830 2.217
Ag Cd Se
1 1 2
direct
0.500 0.500 0.500
0.000 0.000 0.500
0.000 0.000 0.000
0.500 0.500 0.000

***

Record 4
CdAg2Se (PBE, relaxed); space-group type = P4mm; energy relative to the elements, uncorrected = 81 meV per atom; polymorph energy (0 for the lowest one) = 0.128 eV per atom
1.0
-0.702 0.867 2.926
0.849 -2.829 1.041
7.643 2.678 1.041
Ag Cd Se
2 1 1
direct
0.000 0.000 0.007
0.500 0.500 0.244
0.000 0.000 0.485
0.500 0.500 0.764

***

Record 5
CdAg2Se (PBE, relaxed); space-group type = Cm; energy relative to the elements, uncorrected = 10 meV per atom; polymorph energy (0 for the lowest one) = 0.057 eV per atom
1.0
-1.050 2.647 -4.586
-4.235 2.819 -1.806
0.522 4.131 0.343
Ag Cd Se
2 1 1
direct
0.000 0.000 0.001
0.749 0.749 0.752
0.500 0.500 0.499
0.252 0.252 0.249

***

Record 6
Cd2SiAgSe4 (PBE, relaxed); space-group type = Fmm2; energy relative to the elements, uncorrected = -334 meV per atom
1.0
-5.352 2.780 -1.156
-1.859 -4.916 -3.176
1.315 -1.276 7.134
Cd Si Ag Se
2 1 1 4
direct
0.750 0.250 0.500
0.250 0.750 0.500
0.500 0.500 0.000
0.000 0.000 0.001
0.617 0.617 0.771
0.383 0.846 0.229
0.846 0.383 0.229
0.154 0.154 0.771

***

Record 7
Cd2AgSnSe4 (PBE, relaxed); space-group type = Fmm2; energy relative to the elements, uncorrected = -407 meV per atom
1.0
-3.963 2.923 3.837
-2.525 -5.490 1.569
7.343 0.729 1.953
Cd Ag Sn Se
2 1 1 4
direct
0.750 0.250 0.500
0.250 0.750 0.500
0.000 0.000 0.999
0.500 0.500 0.001
0.629 0.629 0.750
0.370 0.880 0.250
0.880 0.370 0.250
0.120 0.120 0.750

***

Record 8
CdAg2TeSe4 (PBE, relaxed); space-group type = P1; energy relative to the elements, uncorrected = -118 meV per atom
1.0
6.279 0.002 -0.009
0.000 6.280 -0.009
-3.141 -3.143 6.111
Cd Ag Te Se
1 2 1 4
direct
0.986 0.486 0.972
0.486 0.986 0.971
0.235 0.236 0.472
0.736 0.736 0.472
0.606 0.609 0.726
0.863 0.352 0.218
0.356 0.866 0.218
0.119 0.116 0.725